1.
VASP calculation (PBE) on crystalline Sc4GeH2 at its relaxed geometry.

Lattice parameters (Å, degrees): 8.1819 8.1819 7.1035 90.00 90.00 90.00
With the nearest neighbours (Å) after each atom.
Space group I4_1/a (No. 88, origin choice 2)
Inequivalent atoms, fractional coordinates:
Sc (0.0004, 0.0669, 0.2884)  1 H 2.12
Ge (0.0000, 0.2500, 0.6250)  8 Sc 2.67-2.82
H (0.0000, 0.0000, 0.0000)  2 Sc 2.12

magnetic moment: 0.00 μB per cell
VASP energy: -158.1 eV per cell

***

2.
VASP calculation (PBE) on crystalline PrScZnPt2 at its relaxed geometry.

Lattice parameters (Å, degrees): 4.0871 4.0871 12.5052 90.00 90.00 90.00
With the nearest neighbours (Å) after each atom.
Space group I-4m2 (No. 119)
Inequivalent atoms, fractional coordinates:
Pr (0.0000, 0.0000, 0.0000)  8 Pt 3.20
Sc (0.0000, 0.5000, 0.7500)  4 Pt 2.69, 4 Zn 2.89
Zn (0.0000, 0.5000, 0.2500)  4 Pt 2.69, 4 Sc 2.89
Pt (0.0000, 0.0000, 0.3905)  2 Sc 2.69, 2 Zn 2.69, 1 Pt 2.74

magnetic moment: 0.00 μB per cell
VASP energy: -58.7 eV per cell
ΔH_f (0 K): -0.98 eV/atom

***

3.
VASP calculation (PBE) on crystalline BeSbPt2 at its relaxed geometry.

Lattice parameters (Å, degrees): 4.2130 4.2130 3.6058 90.00 90.00 90.00
With the nearest neighbours (Å) after each atom.
Space group P4/mmm (No. 123)
Inequivalent atoms, fractional coordinates:
Be (0.0000, 0.0000, 0.0000)  8 Pt 2.77, 4 Sb 2.98
Sb (0.5000, 0.5000, 0.0000)  8 Pt 2.77, 4 Be 2.98
Pt (0.0000, 0.5000, 0.5000)  4 Sb 2.77, 4 Be 2.77, 4 Pt 2.98

magnetic moment: 0.00 μB per cell
VASP energy: -20.3 eV per cell
ΔE_f (raw): -0.0923 eV per atom
polymorph energy (0 for the lowest one): 314.4 meV/atom

***

4.
VASP calculation (PBE) on crystalline LiTa3In at its relaxed geometry.

Lattice parameters (Å, degrees): 4.4757 4.4757 4.4757 90.00 90.00 90.00
With the nearest neighbours (Å) after each atom.
Space group Pm-3m (No. 221)
Inequivalent atoms, fractional coordinates:
Li (0.0000, 0.0000, 0.0000)  6 Ta 2.24
Ta (0.0000, 0.0000, 0.5000)  2 Li 2.24
In (0.5000, 0.5000, 0.5000)  12 Ta 3.16

magnetic moment: 0.00 μB per cell
VASP energy: -35.4 eV per cell
polymorph energy (0 for the lowest one): 0.0 meV/atom
ΔH_f (0 K): 0.96 eV/atom

***

5.
VASP calculation (PBE) on crystalline ZrICl2 at its relaxed geometry.

Lattice parameters (Å, degrees): 8.9794 8.9794 5.9024 90.00 90.00 90.00
With the nearest neighbours (Å) after each atom.
Space group I-42d (No. 122)
Inequivalent atoms, fractional coordinates:
Zr (0.0000, 0.0000, 0.0000)  4 Cl 2.59
I (0.0000, 0.0000, 0.5000)  2 Zr 2.95
Cl (0.1185, 0.2500, 0.1250)  2 Zr 2.59

magnetic moment: 4.00 μB per cell
VASP energy: -72.8 eV per cell
ΔE_f (raw): -1.1007 eV per atom
polymorph energy (0 for the lowest one): 0.0 meV/atom

***

6.
VASP calculation (PBE) on crystalline PdRuF3 at its relaxed geometry.

Lattice parameters (Å, degrees): 4.1750 4.1750 4.1750 90.00 90.00 90.00
With the nearest neighbours (Å) after each atom.
Space group Pm-3m (No. 221)
Inequivalent atoms, fractional coordinates:
Pd (0.0000, 0.0000, 0.0000)  12 F 2.95
Ru (0.5000, 0.5000, 0.5000)  6 F 2.09
F (0.0000, 0.5000, 0.5000)  2 Ru 2.09

magnetic moment: 2.37 μB per cell
VASP energy: -23.0 eV per cell
ΔE_f (raw): -0.5906 eV per atom
polymorph energy (0 for the lowest one): 0.0 meV/atom

***

7.
VASP calculation (PBE) on crystalline CaHg3Pb3 at its relaxed geometry.

Lattice parameters (Å, degrees): 8.2018 8.2018 8.2018 90.00 90.00 90.00
With the nearest neighbours (Å) after each atom.
Space group Pm-3n (No. 223)
Inequivalent atoms, fractional coordinates:
Ca (0.0000, 0.0000, 0.0000)  12 Hg 4.58, 12 Pb 4.58
Hg (0.0000, 0.2500, 0.5000)  4 Pb 2.90
Pb (0.0000, 0.5000, 0.2500)  4 Hg 2.90

magnetic moment: 0.00 μB per cell
VASP energy: -24.5 eV per cell
polymorph energy (0 for the lowest one): 369.1 meV/atom
ΔH_f (0 K): 0.26 eV/atom

***

8.
VASP calculation (PBE) on crystalline Ba2DyI2O2 at its relaxed geometry.

Lattice parameters (Å, degrees): 4.5847 4.5847 18.6114 90.00 90.00 90.00
With the nearest neighbours (Å) after each atom.
Space group I4/mmm (No. 139)
Inequivalent atoms, fractional coordinates:
Ba (0.0000, 0.0000, 0.0978)  4 O 2.93
Dy (0.0000, 0.0000, 0.5000)  4 O 2.29
I (0.0000, 0.0000, 0.3199)  1 Dy 3.35, 4 Ba 3.59
O (0.0000, 0.5000, 0.0000)  2 Dy 2.29

magnetic moment: 0.40 μB per cell
VASP energy: -73.9 eV per cell
ΔE_f (raw): -2.2152 eV per atom

***

9.
VASP calculation (PBE) on crystalline LiTiB at its relaxed geometry.

Lattice parameters (Å, degrees): 8.1555 3.5135 5.7711 90.00 118.25 90.00
With the nearest neighbours (Å) after each atom.
Space group C2/m (No. 12)
Inequivalent atoms, fractional coordinates:
Li (0.1967, 0.0000, 0.0827)  2 Li 2.35, 3 B 2.45-2.47
Ti (0.0899, 0.5000, 0.3506)  5 B 2.26-2.50
B (0.1150, 0.0000, 0.6116)  1 B 1.70

magnetic moment: 0.00 μB per cell
VASP energy: -67.8 eV per cell
polymorph energy (0 for the lowest one): 253.4 meV/atom
ΔH_f (0 K): -0.16 eV/atom

***

10.
VASP calculation (PBE) on crystalline KMo2Cl2 at its relaxed geometry.

Lattice parameters (Å, degrees): 4.0514 4.0514 13.1737 90.00 90.00 90.00
With the nearest neighbours (Å) after each atom.
Space group I4/mmm (No. 139)
Inequivalent atoms, fractional coordinates:
K (0.0000, 0.0000, 0.0000)  8 Cl 3.43
Mo (0.0000, 0.5000, 0.2500)  4 Cl 2.46
Cl (0.0000, 0.0000, 0.3563)  4 Mo 2.46

magnetic moment: 0.00 μB per cell
VASP energy: -50.1 eV per cell
ΔE_f (raw): 0.2763 eV per atom

***

11.
VASP calculation (PBE) on crystalline SmSc2UP4 at its relaxed geometry.

Lattice parameters (Å, degrees): 5.5282 5.5282 10.9621 90.00 90.00 90.00
With the nearest neighbours (Å) after each atom.
Space group I-4m2 (No. 119)
Inequivalent atoms, fractional coordinates:
Sm (0.0000, 0.0000, 0.0000)  6 P 2.76-2.83
Sc (0.0000, 0.0000, 0.5000)  6 P 2.65-2.76
Sc (0.0000, 0.5000, 0.2500)  6 P 2.75-2.77
U (0.0000, 0.5000, 0.7500)  6 P 2.73-2.77
P (0.0000, 0.0000, 0.2584)  3 Sc 2.65-2.77, 2 U 2.77, 1 Sm 2.83
P (0.0000, 0.5000, 0.5008)  1 U 2.73, 3 Sc 2.75-2.76, 2 Sm 2.76

magnetic moment: 4.25 μB per cell
VASP energy: -122.0 eV per cell
ΔH_f (0 K): -1.34 eV/atom

***

12.
VASP calculation (PBE) on crystalline Pm6Cd5Te at its relaxed geometry.

Lattice parameters (Å, degrees): 5.4713 7.4757 16.4609 90.00 90.00 90.00
With the nearest neighbours (Å) after each atom.
Space group Immm (No. 71)
Inequivalent atoms, fractional coordinates:
Pm (0.0000, 0.2471, 0.0000)  2 Te 3.30, 6 Cd 3.32-3.47, 1 Pm 3.69
Pm (0.0000, 0.2525, 0.3349)  7 Cd 3.19-3.34, 1 Te 3.29
Cd (0.0000, 0.0000, 0.1787)  8 Pm 3.19-3.47
Cd (0.0000, 0.0000, 0.5000)  8 Pm 3.31-3.33
Cd (0.0000, 0.5000, 0.1660)  8 Pm 3.32-3.34
Te (0.0000, 0.5000, 0.5000)  8 Pm 3.29-3.30

magnetic moment: 0.00 μB per cell
VASP energy: -83.4 eV per cell
ΔE_f (raw): -0.4560 eV per atom

***

13.
VASP calculation (PBE) on crystalline LiLaPdAu at its relaxed geometry.

Lattice parameters (Å, degrees): 7.7475 4.4762 5.6263 90.00 117.39 90.00
With the nearest neighbours (Å) after each atom.
Space group Cm (No. 8)
Inequivalent atoms, fractional coordinates:
Li (0.0000, 0.0000, 0.0000)  3 Pd 2.67-2.68, 3 Au 2.68
La (0.4962, 0.0000, 0.4888)  4 Pd 3.12-3.25, 4 Au 3.16-3.17
Pd (0.2131, 0.5000, 0.1387)  3 Li 2.67-2.68, 3 Au 2.94-2.95
Au (0.2851, 0.0000, 0.8558)  3 Li 2.68, 3 Pd 2.94-2.95

magnetic moment: 0.00 μB per cell
VASP energy: -36.3 eV per cell
ΔH_f (0 K): -0.71 eV/atom

***

14.
VASP calculation (PBE) on crystalline AcNbTe2 at its relaxed geometry.

Lattice parameters (Å, degrees): 3.7446 3.7446 31.2835 90.00 90.00 120.00
With the nearest neighbours (Å) after each atom.
Space group R-3m (No. 166, hexagonal axes)
Inequivalent atoms, fractional coordinates:
Ac (0.0000, 0.0000, 0.0000)  2 Te 3.38, 6 Ac 3.74
Nb (0.0000, 0.0000, 0.5000)  6 Te 2.84
Te (0.0000, 0.0000, 0.1080)  3 Nb 2.84

magnetic moment: 1.89 μB per cell
VASP energy: -65.2 eV per cell
ΔE_f (raw): -0.3185 eV per atom

***

15.
VASP calculation (PBE) on crystalline Sm2HoMgC at its relaxed geometry.

Lattice parameters (Å, degrees): 5.1486 5.1486 4.8714 90.00 90.00 90.00
With the nearest neighbours (Å) after each atom.
Space group P4/mmm (No. 123)
Inequivalent atoms, fractional coordinates:
Sm (0.0000, 0.5000, 0.0000)  2 C 2.57
Ho (0.0000, 0.0000, 0.5000)  2 C 2.44
Mg (0.5000, 0.5000, 0.5000)  8 Sm 3.54, 4 Ho 3.64
C (0.0000, 0.0000, 0.0000)  2 Ho 2.44, 4 Sm 2.57

magnetic moment: 0.00 μB per cell
VASP energy: -25.5 eV per cell
ΔH_f (0 K): -0.13 eV/atom

***

16.
VASP calculation (PBE) on crystalline PmHo5Tl8 at its relaxed geometry.

Lattice parameters (Å, degrees): 9.2186 9.2186 9.4074 90.00 90.00 90.00
With the nearest neighbours (Å) after each atom.
Space group I-4 (No. 82)
Inequivalent atoms, fractional coordinates:
Pm (0.0000, 0.0000, 0.0000)  8 Tl 3.22-3.35
Ho (0.0000, 0.5000, 0.2500)  8 Tl 3.21-3.22
Ho (0.1304, 0.7364, 0.6370)  8 Tl 3.16-3.26
Tl (0.0768, 0.8356, 0.3082)  5 Ho 3.20-3.26, 2 Tl 3.34-3.40, 1 Pm 3.35
Tl (0.0903, 0.6645, 0.9632)  5 Ho 3.16-3.21, 1 Pm 3.22, 2 Tl 3.40-3.46

magnetic moment: 0.00 μB per cell
VASP energy: -99.6 eV per cell
ΔH_f (0 K): -0.23 eV/atom

***

17.
VASP calculation (PBE) on crystalline Er4TeIr at its relaxed geometry.

Lattice parameters (Å, degrees): 8.0891 3.9689 19.3136 90.00 90.00 90.00
With the nearest neighbours (Å) after each atom.
Space group Pnma (No. 62)
Inequivalent atoms, fractional coordinates:
Er (0.0032, 0.2500, 0.0679)  3 Ir 2.89-3.09, 1 Te 3.17
Er (0.0402, 0.7500, 0.2148)  4 Te 3.15-3.18, 4 Er 3.47-3.50
Er (0.1387, 0.7500, 0.4522)  3 Ir 2.85-3.08
Er (0.1430, 0.7500, 0.6469)  2 Ir 2.86, 1 Te 3.20
Te (0.2396, 0.2500, 0.3103)  9 Er 3.15-3.48
Ir (0.2419, 0.2500, 0.5486)  8 Er 2.85-3.09

magnetic moment: 0.00 μB per cell
VASP energy: -141.2 eV per cell
ΔE_f (raw): -0.8404 eV per atom
polymorph energy (0 for the lowest one): 0.0 meV/atom

***

18.
VASP calculation (PBE) on crystalline AcNd2Dy at its relaxed geometry.

Lattice parameters (Å, degrees): 8.3862 8.3862 8.3862 90.00 90.00 90.00
With the nearest neighbours (Å) after each atom.
Space group Fm-3m (No. 225)
Inequivalent atoms, fractional coordinates:
Ac (0.0000, 0.0000, 0.0000)  8 Nd 3.63
Nd (0.2500, 0.2500, 0.2500)  4 Ac 3.63, 4 Dy 3.63
Dy (0.0000, 0.0000, 0.5000)  8 Nd 3.63

magnetic moment: 4.63 μB per cell
VASP energy: -70.4 eV per cell
polymorph energy (0 for the lowest one): 131.4 meV/atom
ΔH_f (0 K): 0.16 eV/atom

***

19.
VASP calculation (PBE) on crystalline YHfBi2Ru at its relaxed geometry.

Lattice parameters (Å, degrees): 5.4979 5.4979 5.5405 90.00 90.00 90.00
With the nearest neighbours (Å) after each atom.
Space group P4/mmm (No. 123)
Inequivalent atoms, fractional coordinates:
Y (0.0000, 0.0000, 0.0000)  2 Hf 2.77
Hf (0.0000, 0.0000, 0.5000)  4 Bi 2.75, 2 Y 2.77
Bi (0.0000, 0.5000, 0.5000)  2 Hf 2.75
Ru (0.5000, 0.5000, 0.0000)  4 Y 3.89, 8 Bi 3.90

magnetic moment: 2.28 μB per cell
VASP energy: -27.5 eV per cell
ΔH_f (0 K): 1.20 eV/atom

***

20.
VASP calculation (PBE) on crystalline Tb2Y4Tm2Th at its relaxed geometry.

Lattice parameters (Å, degrees): 18.5930 3.5885 9.5233 90.00 115.64 90.00
With the nearest neighbours (Å) after each atom.
Space group C2/m (No. 12)
Inequivalent atoms, fractional coordinates:
Tb (0.1485, 0.0000, 0.1683)  3 Tm 3.52-3.55, 7 Y 3.54-3.59, 2 Tb 3.59
Y (0.0183, 0.5000, 0.8298)  2 Th 3.50, 1 Tm 3.51, 4 Tb 3.57-3.59, 5 Y 3.57-3.59
Y (0.1846, 0.0000, 0.8323)  2 Tm 3.50, 1 Th 3.52, 3 Tb 3.54-3.59, 6 Y 3.55-3.59
Tm (0.1655, 0.5000, 0.5023)  3 Y 3.50-3.51, 3 Tb 3.52-3.55, 2 Th 3.55, 4 Tm 3.59-3.63
Th (0.0000, 0.0000, 0.5000)  6 Y 3.50-3.52, 4 Tm 3.55, 2 Th 3.59

magnetic moment: 0.00 μB per cell
VASP energy: -102.9 eV per cell
ΔH_f (0 K): 0.00 eV/atom

***

21.
VASP calculation (PBE) on crystalline Co5Pt6 at its relaxed geometry.

Lattice parameters (Å, degrees): 3.8075 11.5393 7.2065 90.00 90.00 90.00
With the nearest neighbours (Å) after each atom.
Space group Cmmm (No. 65)
Inequivalent atoms, fractional coordinates:
Co (0.0000, 0.0000, 0.0000)  8 Pt 2.63-2.68, 4 Co 2.70
Co (0.0000, 0.3258, 0.5000)  8 Pt 2.58-2.64, 2 Co 2.59
Co (0.0000, 0.3336, 0.0000)  8 Pt 2.63-2.69, 4 Co 2.70-2.71
Pt (0.0000, 0.1651, 0.2512)  7 Co 2.58-2.66, 4 Pt 2.69-2.73
Pt (0.0000, 0.5000, 0.2619)  6 Co 2.64-2.69, 4 Pt 2.69

magnetic moment: 23.22 μB per cell
VASP energy: -143.5 eV per cell
ΔH_f (0 K): 0.00 eV/atom

***

22.
VASP calculation (PBE) on crystalline Rb6TlAg at its relaxed geometry.

Lattice parameters (Å, degrees): 4.8958 14.2445 15.6989 90.00 90.00 90.00
With the nearest neighbours (Å) after each atom.
Space group Amm2 (No. 38)
Inequivalent atoms, fractional coordinates:
Rb (0.0000, 0.0000, 0.0000)  10 Rb 4.77-5.12
Rb (0.0000, 0.1567, 0.7068)  2 Ag 3.80, 1 Tl 4.09
Rb (0.5000, 0.0000, 0.2703)  2 Tl 4.21, 2 Rb 4.31
Rb (0.5000, 0.2154, 0.4629)  1 Ag 3.64, 2 Tl 3.95
Tl (0.0000, 0.0000, 0.4884)  2 Ag 2.91
Ag (0.5000, 0.0000, 0.5881)  2 Tl 2.91

magnetic moment: 0.00 μB per cell
VASP energy: -21.9 eV per cell
ΔH_f (0 K): 0.01 eV/atom

***

23.
VASP calculation (PBE) on crystalline Ce2HoCd at its relaxed geometry.

Lattice parameters (Å, degrees): 4.5701 4.5701 5.2093 90.00 90.00 90.00
With the nearest neighbours (Å) after each atom.
Space group P4/mmm (No. 123)
Inequivalent atoms, fractional coordinates:
Ce (0.0000, 0.5000, 0.0000)  4 Ce 3.23, 4 Cd 3.46, 4 Ho 3.46
Ho (0.0000, 0.0000, 0.5000)  4 Cd 3.23, 8 Ce 3.46
Cd (0.5000, 0.5000, 0.5000)  4 Ho 3.23, 8 Ce 3.46

magnetic moment: 1.53 μB per cell
VASP energy: -17.5 eV per cell
polymorph energy (0 for the lowest one): 0.0 meV/atom
ΔH_f (0 K): -0.03 eV/atom

***

24.
VASP calculation (PBE) on crystalline Mn4Hg3Au at its relaxed geometry.

Lattice parameters (Å, degrees): 3.4128 4.5829 9.1773 90.00 90.00 90.00
With the nearest neighbours (Å) after each atom.
Space group Pmmm (No. 47)
Inequivalent atoms, fractional coordinates:
Mn (0.0000, 0.0000, 0.0000)  4 Hg 2.85, 4 Au 2.86, 4 Mn 3.18
Mn (0.0000, 0.0000, 0.5000)  8 Hg 2.86-2.87
Mn (0.0000, 0.5000, 0.2401)  2 Au 2.79, 6 Hg 2.86-2.93
Hg (0.5000, 0.0000, 0.2485)  8 Mn 2.85-2.87
Hg (0.5000, 0.5000, 0.5000)  8 Mn 2.86-2.93
Au (0.5000, 0.5000, 0.0000)  8 Mn 2.79-2.86

magnetic moment: 16.00 μB per cell
VASP energy: -38.8 eV per cell
ΔH_f (0 K): 0.25 eV/atom